Run P
A geometry-optimized EuTlBi structure, computed with PBE-GGA.

Magnetic moment = 2.370 μB per atom
Calculated density = 7.73 Mg/m³

a = 5.559 Å, b = 5.559 Å, c = 5.559 Å
α = 60.00°, β = 60.00°, γ = 60.00°
Site moments in Bohr magnetons follow the coordinates.
Positions (direct):
Eu1 0.500 0.500 0.500  -6.91
Tl1 0.000 0.000 0.000  -0.01
Bi1 0.250 0.250 0.250  0.05

---

Run Q
A geometry-optimized EuTlBi structure, computed with PBE-GGA.

Magnetic moment = 2.333 μB per atom
Calculated density = 9.18 Mg/m³

a = 4.805 Å, b = 4.958 Å, c = 4.958 Å
α = 120.00°, β = 90.00°, γ = 90.00°
Site moments in Bohr magnetons follow the coordinates.
Positions (direct):
Eu1 0.662 0.333 0.667  -6.88
Tl1 0.316 0.667 0.333  0.00
Bi1 0.023 0.000 0.000  0.07

---

Unit: eV/atom. Relative energies: run P 0.102; run Q 0.000.